NdGdGaGe after structural relaxation, computed with PBE-GGA.

Cell lengths 7.306, 7.306, 7.306 Å; angles 90.00, 90.00, 90.00 degrees
Space group F-43m (No. 216)
Asymmetric unit:
Nd 0.000 0.000 0.000 x4
Gd 0.000 0.000 0.500 x4
Ga 0.250 0.250 0.250 x4
Ge 0.250 0.250 0.750 x4

## Properties
formation energy from the elements = -0.58 eV/atom

=====

GdGaGe2O7 after structural relaxation, computed with PBE-GGA.

Cell lengths 7.288, 6.643, 12.935 Å; angles 90.00, 117.84, 90.00 degrees
Space group P2_1/c (No. 14)
Asymmetric unit:
Gd 0.243 0.145 0.473 x4
Ga 0.212 0.099 0.731 x4
Ge 0.217 0.658 0.457 x4
Ge 0.301 0.588 0.722 x4
O 0.013 0.659 0.923 x4
O 0.150 0.690 0.187 x4
O 0.213 0.054 0.874 x4
O 0.219 0.112 0.281 x4
O 0.257 0.501 0.579 x4
O 0.411 0.671 0.979 x4
O 0.428 0.121 0.689 x4

## Properties
ΔE_f (raw) = -2.1439 eV per atom

=====

GdPaGaGe after structural relaxation, computed with PBE-GGA.

Cell lengths 7.158, 7.158, 7.158 Å; angles 90.00, 90.00, 90.00 degrees
Space group F-43m (No. 216)
Asymmetric unit:
Gd 0.000 0.000 0.000 x4
Pa 0.000 0.000 0.500 x4
Ga 0.250 0.250 0.750 x4
Ge 0.250 0.250 0.250 x4

## Properties
formation energy from the elements = -0.36 eV/atom

=====

PmGdGaGe after structural relaxation, computed with PBE-GGA.

Cell lengths 7.278, 7.278, 7.278 Å; angles 90.00, 90.00, 90.00 degrees
Space group F-43m (No. 216)
Asymmetric unit:
Pm 0.000 0.000 0.000 x4
Gd 0.000 0.000 0.500 x4
Ga 0.250 0.250 0.250 x4
Ge 0.250 0.250 0.750 x4

## Properties
formation energy from the elements = -0.59 eV/atom

=====

Total energy list, top to bottom, in eV/atom: -7.203; -7.694; -8.161; -7.206
DOS at the Fermi energy list, top to bottom, in states/eV/f.u.: 2.28; 0.00; 7.13; 2.22
Total moment list, top to bottom, in μB/atom: 1.7779; 0.6340; 2.1995; 1.7756